(1)
# PBE-GGA RbAlP2, optimized geometry
data_RbAlP2
_chemical_formula_sum 'Rb2 Al2 P4'
_cell_length_a 5.560
_cell_length_b 5.560
_cell_length_c 8.340
_cell_angle_alpha 70.53
_cell_angle_beta 70.53
_cell_angle_gamma 90.00
_space_group_name_H-M_alt 'P 1'
_space_group_IT_number 1
loop_
_space_group_symop_operation_xyz
'x,y,z'
loop_
_atom_site_label
_atom_site_type_symbol
_atom_site_fract_x
_atom_site_fract_y
_atom_site_fract_z
Al1 Al 0.250 0.750 0.500
Al2 Al 0.500 0.500 0.000
Rb1 Rb 0.000 0.000 0.000
Rb2 Rb 0.750 0.250 0.500
P1 P 0.375 0.625 0.750
P2 P 0.375 0.125 0.250
P3 P 0.375 0.625 0.250
P4 P 0.875 0.625 0.750
# - Magnetization: 0.00 μB/cell
# - E_form: -0.173 eV/atom
# - Symmetry: I4_1/amd



(2)
# PBE-GGA RbAlP, optimized geometry
data_RbAlP
_chemical_formula_sum 'Rb2 Al2 P2'
_cell_length_a 3.992
_cell_length_b 5.371
_cell_length_c 11.612
_cell_angle_alpha 92.01
_cell_angle_beta 96.25
_cell_angle_gamma 111.79
_space_group_name_H-M_alt 'P 1'
_space_group_IT_number 1
loop_
_space_group_symop_operation_xyz
'x,y,z'
loop_
_atom_site_label
_atom_site_type_symbol
_atom_site_fract_x
_atom_site_fract_y
_atom_site_fract_z
Al1 Al 0.622 0.761 0.474
Al2 Al 0.378 0.239 0.526
Rb1 Rb 0.807 0.283 0.236
Rb2 Rb 0.193 0.717 0.764
P1 P 0.150 0.883 0.368
P2 P 0.850 0.117 0.632
# - Magnetization: 0.22 μB/cell
# - E_form: -0.404 eV/atom
# - Symmetry: P-1



(3)
# PBE-GGA RbAl2PS6, optimized geometry
data_RbAl2PS6
_chemical_formula_sum 'Rb2 Al4 P2 S12'
_cell_length_a 7.230
_cell_length_b 9.186
_cell_length_c 9.186
_cell_angle_alpha 96.52
_cell_angle_beta 72.55
_cell_angle_gamma 72.55
_space_group_name_H-M_alt 'P 1'
_space_group_IT_number 1
loop_
_space_group_symop_operation_xyz
'x,y,z'
loop_
_atom_site_label
_atom_site_type_symbol
_atom_site_fract_x
_atom_site_fract_y
_atom_site_fract_z
S1 S 0.142 0.781 0.843
S2 S 0.767 0.926 0.361
S3 S 0.514 0.318 0.568
S4 S 0.358 0.157 0.219
S5 S 0.642 0.843 0.781
S6 S 0.233 0.074 0.639
S7 S 0.486 0.682 0.432
S8 S 0.267 0.361 0.926
S9 S 0.986 0.432 0.682
S10 S 0.858 0.219 0.157
S11 S 0.733 0.639 0.074
S12 S 0.014 0.568 0.318
Al1 Al 0.907 0.677 0.827
Al2 Al 0.407 0.827 0.677
Al3 Al 0.093 0.323 0.173
Al4 Al 0.593 0.173 0.323
Rb1 Rb 0.750 0.157 0.843
Rb2 Rb 0.250 0.843 0.157
P1 P 0.250 0.289 0.711
P2 P 0.750 0.711 0.289
# - ΔE_f (raw): -802 meV per atom
# - Magnetization: 0.00 μB/cell
# - Symmetry: C2/c



(4)
# PBE-GGA RbAlPS2, optimized geometry
data_RbAlPS2
_chemical_formula_sum 'Rb1 Al1 P1 S2'
_cell_length_a 4.904
_cell_length_b 4.904
_cell_length_c 4.760
_cell_angle_alpha 90.00
_cell_angle_beta 90.00
_cell_angle_gamma 90.00
_space_group_name_H-M_alt 'P 1'
_space_group_IT_number 1
loop_
_space_group_symop_operation_xyz
'x,y,z'
loop_
_atom_site_label
_atom_site_type_symbol
_atom_site_fract_x
_atom_site_fract_y
_atom_site_fract_z
P1 P 0.000 0.000 0.500
S1 S 0.000 0.500 0.000
S2 S 0.500 0.000 0.000
Rb1 Rb 0.500 0.500 0.500
Al1 Al 0.000 0.000 0.000
# - ΔE_f (raw): -201 meV per atom
# - Magnetization: 0.83 μB/cell
# - Symmetry: P4/mmm



(5)
# PBE-GGA Rb2Al2P2S, optimized geometry
data_Rb2Al2P2S
_chemical_formula_sum 'Rb2 Al2 P2 S1'
_cell_length_a 3.960
_cell_length_b 7.755
_cell_length_c 8.338
_cell_angle_alpha 50.41
_cell_angle_beta 90.00
_cell_angle_gamma 75.21
_space_group_name_H-M_alt 'P 1'
_space_group_IT_number 1
loop_
_space_group_symop_operation_xyz
'x,y,z'
loop_
_atom_site_label
_atom_site_type_symbol
_atom_site_fract_x
_atom_site_fract_y
_atom_site_fract_z
Al1 Al 0.191 0.618 0.323
Al2 Al 0.809 0.382 0.677
P1 P 0.800 0.401 0.375
P2 P 0.200 0.599 0.625
Rb1 Rb 0.570 0.860 0.789
Rb2 Rb 0.430 0.140 0.211
S1 S 0.000 0.000 0.000
# - ΔE_f (raw): -787 meV per atom
# - Magnetization: 0.00 μB/cell
# - Symmetry: C2/m



(6)
# PBE-GGA RbAlP2S, optimized geometry
data_RbAlP2S
_chemical_formula_sum 'Rb1 Al1 P2 S1'
_cell_length_a 4.809
_cell_length_b 4.809
_cell_length_c 5.006
_cell_angle_alpha 90.00
_cell_angle_beta 90.00
_cell_angle_gamma 90.00
_space_group_name_H-M_alt 'P 1'
_space_group_IT_number 1
loop_
_space_group_symop_operation_xyz
'x,y,z'
loop_
_atom_site_label
_atom_site_type_symbol
_atom_site_fract_x
_atom_site_fract_y
_atom_site_fract_z
Rb1 Rb 0.500 0.500 0.500
S1 S 0.000 0.000 0.500
P1 P 0.500 0.000 0.000
P2 P 0.000 0.500 0.000
Al1 Al 0.000 0.000 0.000
# - ΔE_f (raw): 97 meV per atom
# - Magnetization: 1.05 μB/cell
# - Symmetry: P4/mmm



(7)
# PBE-GGA RbAlPS2, optimized geometry
data_RbAlPS2
_chemical_formula_sum 'Rb1 Al1 P1 S2'
_cell_length_a 5.977
_cell_length_b 5.977
_cell_length_c 6.242
_cell_angle_alpha 90.00
_cell_angle_beta 90.00
_cell_angle_gamma 90.00
_space_group_name_H-M_alt 'P 1'
_space_group_IT_number 1
loop_
_space_group_symop_operation_xyz
'x,y,z'
loop_
_atom_site_label
_atom_site_type_symbol
_atom_site_fract_x
_atom_site_fract_y
_atom_site_fract_z
Rb1 Rb 0.000 0.000 0.000
S1 S 0.000 0.500 0.000
S2 S 0.500 0.000 0.000
P1 P 0.000 0.000 0.500
Al1 Al 0.500 0.500 0.500
# - ΔE_f (raw): 1420 meV per atom
# - Magnetization: 5.01 μB/cell
# - Symmetry: P4/mmm



(8)
# PBE-GGA RbAlP2S, optimized geometry
data_RbAlP2S
_chemical_formula_sum 'Rb1 Al1 P2 S1'
_cell_length_a 5.666
_cell_length_b 5.666
_cell_length_c 5.726
_cell_angle_alpha 90.00
_cell_angle_beta 90.00
_cell_angle_gamma 90.00
_space_group_name_H-M_alt 'P 1'
_space_group_IT_number 1
loop_
_space_group_symop_operation_xyz
'x,y,z'
loop_
_atom_site_label
_atom_site_type_symbol
_atom_site_fract_x
_atom_site_fract_y
_atom_site_fract_z
P1 P 0.500 0.000 0.000
P2 P 0.000 0.500 0.000
Al1 Al 0.500 0.500 0.500
Rb1 Rb 0.000 0.000 0.000
S1 S 0.000 0.000 0.500
# - ΔE_f (raw): 1795 meV per atom
# - Magnetization: 1.94 μB/cell
# - Symmetry: P4/mmm



(9)
# PBE-GGA RbAlPSe6, optimized geometry
data_RbAlPSe6
_chemical_formula_sum 'Rb1 Al1 P1 Se6'
_cell_length_a 5.941
_cell_length_b 5.940
_cell_length_c 8.757
_cell_angle_alpha 90.00
_cell_angle_beta 90.00
_cell_angle_gamma 59.99
_space_group_name_H-M_alt 'P 1'
_space_group_IT_number 1
loop_
_space_group_symop_operation_xyz
'x,y,z'
loop_
_atom_site_label
_atom_site_type_symbol
_atom_site_fract_x
_atom_site_fract_y
_atom_site_fract_z
Se1 Se 0.010 0.656 0.670
Se2 Se 0.334 0.010 0.670
Se3 Se 0.656 0.334 0.670
Se4 Se 0.656 0.010 0.330
Se5 Se 0.010 0.334 0.330
Se6 Se 0.334 0.656 0.330
Al1 Al 0.667 0.667 0.500
P1 P 0.333 0.333 0.500
Rb1 Rb 0.000 0.000 0.000
# - ΔE_f (raw): -238 meV per atom
# - Magnetization: 0.00 μB/cell
# - Symmetry: P312



(10)
# PBE-GGA RbAlP2Se8, optimized geometry
data_RbAlP2Se8
_chemical_formula_sum 'Rb1 Al1 P2 Se8'
_cell_length_a 5.960
_cell_length_b 5.960
_cell_length_c 11.269
_cell_angle_alpha 90.00
_cell_angle_beta 90.00
_cell_angle_gamma 120.00
_space_group_name_H-M_alt 'P 1'
_space_group_IT_number 1
loop_
_space_group_symop_operation_xyz
'x,y,z'
loop_
_atom_site_label
_atom_site_type_symbol
_atom_site_fract_x
_atom_site_fract_y
_atom_site_fract_z
P1 P 0.667 0.333 0.287
P2 P 0.333 0.667 0.713
Se1 Se 0.038 0.694 0.351
Se2 Se 0.667 0.333 0.096
Se3 Se 0.344 0.038 0.649
Se4 Se 0.694 0.656 0.649
Se5 Se 0.962 0.306 0.649
Se6 Se 0.656 0.962 0.351
Se7 Se 0.306 0.344 0.351
Se8 Se 0.333 0.667 0.904
Al1 Al 0.000 0.000 0.500
Rb1 Rb 0.000 0.000 0.000
# - ΔE_f (raw): -268 meV per atom
# - Magnetization: 0.00 μB/cell
# - Symmetry: P-3



Looking at D(E_F) for the records above, in order, we have 0.387; 0.289; 0.000; 0.759; 0.000; 0.577; 0.946; 1.140; 0.432; 0.797 states/eV per atom.
Looking at total energy for the records above, in order, we have -16.223; -11.331; -46.650; -19.379; -29.877; -19.174; -11.275; -10.682; -33.167; -46.620 eV/f.u..